DFT (GGA-PBE) results for a relaxed structure of U2GeS6.

ρ	5.418	g cm⁻³
D(E_F)	13.2	states/eV/f.u.
uncorrected formation energy	-0.9317	eV/atom
magnetization	4.001	μB per cell
SG	P4_2/mnm

Lattice parameters (Å, degrees): 6.130 6.130 12.087 90.00 90.00 90.00
Positions (direct):
S1 0.806 0.194 0.331
S2 0.191 0.809 0.000
U1 0.000 0.000 0.167
S3 0.691 0.691 0.500
S4 0.194 0.806 0.331
S5 0.194 0.806 0.669
U2 0.000 0.000 0.833
S6 0.809 0.191 0.000
S7 0.806 0.194 0.669
S8 0.694 0.694 0.831
Ge1 0.000 0.000 0.500
U3 0.500 0.500 0.333
S9 0.694 0.694 0.169
Ge2 0.500 0.500 0.000
U4 0.500 0.500 0.667
S10 0.306 0.306 0.169
S11 0.306 0.306 0.831
S12 0.309 0.309 0.500

***

DFT (GGA-PBE) results for a relaxed structure of UGeS2.

ρ	5.930	g cm⁻³
D(E_F)	2.9	states/eV/f.u.
uncorrected formation energy	-0.6627	eV/atom
magnetization	2.522	μB per cell
SG	R-3m

Lattice parameters (Å, degrees): 3.785 3.785 8.735 77.49 77.49 60.00
Positions (direct):
Ge1 0.000 0.000 0.000
U1 0.500 0.500 0.500
S1 0.104 0.104 0.687
S2 0.896 0.896 0.313

***

Which value of ρ does entry 1 give?
5.418 g cm⁻³

***

What did the second record say?
DFT (GGA-PBE) results for a relaxed structure of UGeS2.

ρ	5.930	g cm⁻³
D(E_F)	2.9	states/eV/f.u.
uncorrected formation energy	-0.6627	eV/atom
magnetization	2.522	μB per cell
SG	R-3m

Lattice parameters (Å, degrees): 3.785 3.785 8.735 77.49 77.49 60.00
Positions (direct):
Ge1 0.000 0.000 0.000
U1 0.500 0.500 0.500
S1 0.104 0.104 0.687
S2 0.896 0.896 0.313

***

Copy entry 1 word for word.
DFT (GGA-PBE) results for a relaxed structure of U2GeS6.

ρ	5.418	g cm⁻³
D(E_F)	13.2	states/eV/f.u.
uncorrected formation energy	-0.9317	eV/atom
magnetization	4.001	μB per cell
SG	P4_2/mnm

Lattice parameters (Å, degrees): 6.130 6.130 12.087 90.00 90.00 90.00
Positions (direct):
S1 0.806 0.194 0.331
S2 0.191 0.809 0.000
U1 0.000 0.000 0.167
S3 0.691 0.691 0.500
S4 0.194 0.806 0.331
S5 0.194 0.806 0.669
U2 0.000 0.000 0.833
S6 0.809 0.191 0.000
S7 0.806 0.194 0.669
S8 0.694 0.694 0.831
Ge1 0.000 0.000 0.500
U3 0.500 0.500 0.333
S9 0.694 0.694 0.169
Ge2 0.500 0.500 0.000
U4 0.500 0.500 0.667
S10 0.306 0.306 0.169
S11 0.306 0.306 0.831
S12 0.309 0.309 0.500

***

What is the formula in the first record?
U2GeS6